No. 1
Ba2SmOsN6: relaxed, PBE-GGA.

The structure in extended XYZ format:
```
10
Lattice="-3.047 3.047 4.325 3.047 -3.047 4.325 3.047 3.047 -4.325" Properties=species:S:1:pos:R:3 pbc="T T T"
Ba 0.000 3.047 2.163
Ba 3.047 0.000 2.163
N 0.000 0.000 2.371
N 0.000 0.000 6.279
N 1.492 -1.257 4.325
N 1.257 1.492 4.325
N 1.790 1.555 0.000
N 1.555 4.304 0.000
Os 0.000 0.000 4.325
Sm 0.000 0.000 0.000
```

Values from the calculation:
As for the electronic total energy: -6.9486 eV/atom.

***

No. 2
Dy2CuAgSb4: relaxed, PBE-GGA.

The structure in extended XYZ format:
```
8
Lattice="-2.434 -3.568 0.206 2.237 -1.716 -3.278 6.569 -4.099 6.628" Properties=species:S:1:pos:R:3 pbc="T T T"
Ag 0.000 0.000 0.000
Cu -0.098 -2.642 -1.536
Dy 2.818 -1.918 0.075
Dy 3.652 -4.823 5.016
Sb -0.068 -2.501 1.262
Sb 3.284 -2.050 3.314
Sb 3.186 -4.691 1.777
Sb 6.538 -4.240 3.829
```

Values from the calculation:
As for the electronic total energy: -4.6261 eV/atom.

***

No. 3
CsLa2CuS4: relaxed, PBE-GGA.

The structure in extended XYZ format:
```
16
Lattice="-5.874 4.416 2.017 3.568 -6.704 0.629 7.541 5.039 10.932" Properties=species:S:1:pos:R:3 pbc="T T T"
Cs -0.257 1.280 4.201
Cs 5.491 1.470 9.377
Cu 2.306 -1.738 3.825
Cu 2.929 4.488 9.753
La -4.160 3.223 2.479
La -1.285 5.144 6.648
La 6.519 -2.394 6.930
La 9.395 -0.473 11.099
S -1.153 -1.144 1.323
S 2.091 -3.423 2.180
S -3.204 4.750 4.634
S 4.190 -2.020 5.223
S 2.617 1.375 6.789
S 1.044 4.770 8.354
S 8.438 -2.000 8.944
S 3.143 6.173 11.398
```

Values from the calculation:
As for the electronic total energy: -5.5743 eV/atom.

***

No. 4
NaZr: relaxed, PBE-GGA.

The structure in extended XYZ format:
```
2
Lattice="0.000 2.924 2.924 2.924 0.000 2.924 2.924 2.924 0.000" Properties=species:S:1:pos:R:3 pbc="T T T"
Na 0.000 0.000 0.000
Zr 2.924 2.924 2.924
```

Values from the calculation:
As for the electronic total energy: -3.4636 eV/atom.